Material: TcNiAs2
Method: DFT, PBE-GGA
State: relaxed

a b c (Å): 4.3835 4.3835 4.3835
angles (deg): 60.00 60.00 60.00
With the nearest neighbours (Å) after each atom.
Element x y z (fractional)
Ni 0.2500 0.2500 0.2500  4 As 2.68, 4 Tc 2.68
Tc 0.0000 0.0000 0.0000  4 As 2.68, 4 Ni 2.68
As 0.5000 0.5000 0.5000  4 As 2.68, 4 Ni 2.68
As 0.7500 0.7500 0.7500  4 As 2.68, 4 Tc 2.68

Total energy: -23.5 eV for the cell shown
Space group: F-43m

Material: TcNi2As
Method: DFT, PBE-GGA
State: relaxed

a b c (Å): 4.1510 4.1510 4.1510
angles (deg): 60.00 60.00 60.00
With the nearest neighbours (Å) after each atom.
Element x y z (fractional)
Ni 0.0000 0.0000 0.0000  4 Tc 2.54, 4 Ni 2.54
Ni 0.7500 0.7500 0.7500  4 As 2.54, 4 Ni 2.54
Tc 0.2500 0.2500 0.2500  4 As 2.54, 4 Ni 2.54
As 0.5000 0.5000 0.5000  4 Tc 2.54, 4 Ni 2.54

Total energy: -26.2 eV for the cell shown
Space group: F-43m